Density functional theory data (PBE-GGA) for Li4TlPt2Pb after structural relaxation.

The structure in CIF format:
```
data_Li4TlPt2Pb
_symmetry_space_group_name_H-M 'P -4 m 2'
_symmetry_Int_Tables_number 115
_symmetry_space_group_name_Hall 'P -4 -2'
_cell_length_a 4.581
_cell_length_b 4.581
_cell_length_c 6.419
_cell_angle_alpha 90.00
_cell_angle_beta 90.00
_cell_angle_gamma 90.00
loop_
_atom_site_label
_atom_site_type_symbol
_atom_site_fract_x
_atom_site_fract_y
_atom_site_fract_z
Li1 Li 0.000 0.000 0.000
Li2 Li 0.000 0.500 0.741
Li3 Li 0.500 0.500 0.500
Tl1 Tl 0.000 0.000 0.500
Pt1 Pt 0.000 0.500 0.249
Pb1 Pb 0.500 0.500 0.000
```

Results
E_tot	-29.3	eV/f.u.
density	10223	kg/m³
magnetic moment	0.00	Bohr magnetons per cell

***

Density functional theory data (PBE-GGA) for LiRe3Pb5 after structural relaxation.

The structure in CIF format:
```
data_LiRe3Pb5
_symmetry_space_group_name_H-M 'P 6/m m m'
_symmetry_Int_Tables_number 191
_symmetry_space_group_name_Hall '-P 6 2'
_cell_length_a 5.5093
_cell_length_b 5.5093
_cell_length_c 8.8745
_cell_angle_alpha 90.00
_cell_angle_beta 90.00
_cell_angle_gamma 120.00
loop_
_atom_site_label
_atom_site_type_symbol
_atom_site_fract_x
_atom_site_fract_y
_atom_site_fract_z
Li1 Li 0.0000 0.0000 0.0000
Re1 Re 0.0000 0.5000 0.5000
Pb1 Pb 0.0000 0.0000 0.5000
Pb2 Pb 0.3333 0.6667 0.2078
```

Results
E_tot	-53.1	eV/f.u.
density	11400	kg/m³
magnetic moment	0.02	Bohr magnetons per cell

***

Density functional theory data (PBE-GGA) for LiReTePb after structural relaxation.

The structure in CIF format:
```
data_LiReTePb
_symmetry_space_group_name_H-M 'F -4 3 m'
_symmetry_Int_Tables_number 216
_symmetry_space_group_name_Hall 'F -4 2 3'
_cell_length_a 6.768
_cell_length_b 6.768
_cell_length_c 6.768
_cell_angle_alpha 90.00
_cell_angle_beta 90.00
_cell_angle_gamma 90.00
loop_
_atom_site_label
_atom_site_type_symbol
_atom_site_fract_x
_atom_site_fract_y
_atom_site_fract_z
Li1 Li 0.000 0.000 0.000
Re1 Re 0.000 0.000 0.500
Te1 Te 0.250 0.250 0.750
Pb1 Pb 0.250 0.250 0.250
```

Results
density	11309	kg/m³
E above lowest polymorph	0	meV/atom
magnetic moment	0.06	Bohr magnetons per cell

***

Density functional theory data (PBE-GGA) for Li2ZnPbS4 after structural relaxation.

The structure in CIF format:
```
data_Li2ZnPbS4
_symmetry_space_group_name_H-M 'P 1 c 1'
_symmetry_Int_Tables_number 7
_symmetry_space_group_name_Hall 'P -2yc'
_cell_length_a 6.475
_cell_length_b 6.822
_cell_length_c 10.307
_cell_angle_alpha 90.00
_cell_angle_beta 128.89
_cell_angle_gamma 90.00
loop_
_atom_site_label
_atom_site_type_symbol
_atom_site_fract_x
_atom_site_fract_y
_atom_site_fract_z
Li1 Li 0.000 0.163 0.000
Li2 Li 0.747 0.336 0.246
Zn1 Zn 0.252 0.327 0.749
Pb1 Pb 0.500 0.171 0.497
S1 S 0.118 0.349 0.241
S2 S 0.369 0.178 0.992
S3 S 0.623 0.333 0.757
S4 S 0.896 0.178 0.502
```

Results
E_tot	-31.3	eV/f.u.
density	3887	kg/m³

***

Density functional theory data (PBE-GGA) for LiZrPbS3 after structural relaxation.

The structure in CIF format:
```
data_LiZrPbS3
_symmetry_space_group_name_H-M 'C m c m'
_symmetry_Int_Tables_number 63
_symmetry_space_group_name_Hall '-C 2c 2'
_cell_length_a 3.763
_cell_length_b 13.151
_cell_length_c 9.900
_cell_angle_alpha 90.00
_cell_angle_beta 90.00
_cell_angle_gamma 90.00
loop_
_atom_site_label
_atom_site_type_symbol
_atom_site_fract_x
_atom_site_fract_y
_atom_site_fract_z
Li1 Li 0.000 0.041 0.250
Zr1 Zr 0.000 0.500 0.000
Pb1 Pb 0.000 0.245 0.750
S1 S 0.000 0.134 0.046
S2 S 0.000 0.432 0.250
```

Results
E_tot	-33.0	eV/f.u.
density	5445	kg/m³
magnetic moment	1.37	Bohr magnetons per cell

***

Density functional theory data (PBE-GGA) for LiSmPbSe3 after structural relaxation.

The structure in CIF format:
```
data_LiSmPbSe3
_symmetry_space_group_name_H-M 'C m c m'
_symmetry_Int_Tables_number 63
_symmetry_space_group_name_Hall '-C 2c 2'
_cell_length_a 4.190
_cell_length_b 13.508
_cell_length_c 10.995
_cell_angle_alpha 90.00
_cell_angle_beta 90.00
_cell_angle_gamma 90.00
loop_
_atom_site_label
_atom_site_type_symbol
_atom_site_fract_x
_atom_site_fract_y
_atom_site_fract_z
Li1 Li 0.000 0.022 0.250
Sm1 Sm 0.000 0.500 0.000
Pb1 Pb 0.000 0.258 0.750
Se1 Se 0.000 0.139 0.071
Se2 Se 0.000 0.416 0.250
```

Results
density	6418	kg/m³
E above lowest polymorph	30	meV/atom
magnetic moment	0.00	Bohr magnetons per cell

***

Density functional theory data (PBE-GGA) for LiSmPbSe3 after structural relaxation.

The structure in CIF format:
```
data_LiSmPbSe3
_symmetry_space_group_name_H-M 'C 1 2/m 1'
_symmetry_Int_Tables_number 12
_symmetry_space_group_name_Hall '-C 2y'
_cell_length_a 17.920
_cell_length_b 4.154
_cell_length_c 8.728
_cell_angle_alpha 90.00
_cell_angle_beta 104.12
_cell_angle_gamma 90.00
loop_
_atom_site_label
_atom_site_type_symbol
_atom_site_fract_x
_atom_site_fract_y
_atom_site_fract_z
Li1 Li 0.002 0.000 0.198
Sm1 Sm 0.166 0.500 0.092
Pb1 Pb 0.132 0.500 0.566
Se1 Se 0.000 0.000 0.500
Se2 Se 0.000 0.500 0.000
Se3 Se 0.166 0.000 0.855
Se4 Se 0.175 0.000 0.327
```

Results
density	6340	kg/m³
E above lowest polymorph	0	meV/atom
magnetic moment	0.01	Bohr magnetons per cell

***

Density functional theory data (PBE-GGA) for LiTbPbSe3 after structural relaxation.

The structure in CIF format:
```
data_LiTbPbSe3
_symmetry_space_group_name_H-M 'C m c m'
_symmetry_Int_Tables_number 63
_symmetry_space_group_name_Hall '-C 2c 2'
_cell_length_a 4.156
_cell_length_b 13.508
_cell_length_c 10.800
_cell_angle_alpha 90.00
_cell_angle_beta 90.00
_cell_angle_gamma 90.00
loop_
_atom_site_label
_atom_site_type_symbol
_atom_site_fract_x
_atom_site_fract_y
_atom_site_fract_z
Li1 Li 0.000 0.024 0.250
Tb1 Tb 0.000 0.500 0.000
Pb1 Pb 0.000 0.256 0.750
Se1 Se 0.000 0.138 0.067
Se2 Se 0.000 0.418 0.250
```

Results
density	6681	kg/m³
E above lowest polymorph	33	meV/atom
magnetic moment	0.03	Bohr magnetons per cell

***

- Among the records above, which one has the highest density?
  LiRe3Pb5